Density functional theory data (PBE) for a relaxed structure of LiCaH2SeF.

abc: 3.8477 4.1338 6.9662
angles: 73.02 82.32 89.96
With the nearest neighbours (Å) after each atom.
Space group P1 (No. 1)
Asymmetric unit:
Li  0.0000  0.0000  0.0000 x1  1 F 1.79
Ca  0.9060  0.2891  0.4287 x1  1 F 2.11
H  0.1646  0.5667  0.8704 x1  1 H 0.76
H  0.2741  0.5269  0.9568 x1  1 H 0.76
Se  0.4420  0.8603  0.2842 x1  2 Li 2.66-2.72
F  0.8962  0.1328  0.7457 x1  1 Li 1.79

The value obtained for the raw total energy is -4.164 eV/atom. As for the crystal system: triclinic. The value obtained for the total magnetization is 0.0 μB per cell. For the excess energy over the best structure of this formula in the dataset, the calculation gives 0.039 eV/atom.